# 1
Computed, not measured: an optimized crystal structure of ZrCoAu at the PBE level of DFT.

Output
Energy of formation from the pure elements = -0.350 eV/atom
Total moment = 0.00 Bohr magnetons per cell
Symmetry = No. 12
V = 17.131 A^3/atom

Cell and atoms, written as POSCAR:
```
ZrCoAu
1.0
-0.660 3.221 3.586
-3.092 0.905 -1.382
-5.064 -10.313 4.577
Co Au Zr
4 4 4
Direct
0.345 0.000 0.738
0.655 0.000 0.262
0.345 0.500 0.238
0.655 0.500 0.762
0.283 0.000 0.068
0.717 0.000 0.932
0.283 0.500 0.568
0.717 0.500 0.432
0.166 0.000 0.364
0.834 0.000 0.636
0.166 0.500 0.864
0.834 0.500 0.136
```

=====

# 2
Computed, not measured: an optimized crystal structure of BaScHg at the PBE level of DFT.

Output
Energy of formation from the pure elements = -0.083 eV/atom
Total moment = 0.00 Bohr magnetons per cell
Symmetry = No. 187
Energy above the lowest structure with this stoichiometry = 193.9 meV/atom
V = 35.573 A^3/atom

Cell and atoms, written as POSCAR:
```
BaScHg
1.0
-2.745 1.027 -3.916
-0.162 -4.461 1.998
-3.833 1.522 3.086
Ba Hg Sc
1 1 1
Direct
0.000 0.000 0.000
0.667 0.333 0.500
0.333 0.667 0.500
```

=====

# 3
Computed, not measured: an optimized crystal structure of AcZnSnSb at the PBE level of DFT.

Output
Total moment = 0.00 Bohr magnetons per cell
Symmetry = No. 216
V = 28.983 A^3/atom
Formation energy without anion corrections = -17.9 kJ/mol of atoms

Cell and atoms, written as POSCAR:
```
AcZnSnSb
1.0
5.473 0.000 0.000
2.737 4.740 0.000
2.737 1.580 4.469
Sb Ac Sn Zn
1 1 1 1
Direct
0.250 0.250 0.250
0.750 0.750 0.750
0.500 0.500 0.500
0.000 0.000 0.000
```

=====

# 4
Computed, not measured: an optimized crystal structure of PrAl4 at the PBE level of DFT.

Output
Energy of formation from the pure elements = 0.066 eV/atom
Total moment = 0.00 Bohr magnetons per cell
Symmetry = No. 127
Energy above the lowest structure with this stoichiometry = 402.7 meV/atom
V = 24.148 A^3/atom

Cell and atoms, written as POSCAR:
```
PrAl4
1.0
-1.144 -4.592 3.354
6.736 -4.636 -4.049
5.887 3.096 6.247
Pr Al
4 16
Direct
0.000 0.158 0.658
0.000 0.658 0.842
0.000 0.342 0.158
0.000 0.842 0.342
0.500 0.900 0.600
0.500 0.600 0.100
0.500 0.400 0.900
0.500 0.100 0.400
0.500 0.191 0.110
0.500 0.110 0.809
0.500 0.890 0.191
0.500 0.809 0.890
0.500 0.309 0.610
0.500 0.691 0.390
0.500 0.610 0.691
0.500 0.390 0.309
0.208 0.000 0.000
0.792 0.500 0.500
0.792 0.000 0.000
0.208 0.500 0.500
```